Computed, not measured: an optimized crystal structure of ZrRe2Rh at the PBEsol level of DFT.

- Magnetic moment: 0.001 μB per cell
- Calculated formation energy: -0.02 eV/atom

a b c (Å): 9.185 2.820 4.935
angles (deg): 90.00 99.32 90.00
Space group Cm (No. 8)
One atom of each set of equivalent atoms:
Zr1 0.000 0.000 0.000 [2 per cell]
Re1 0.011 0.500 0.499 [2 per cell]
Re2 0.266 0.500 0.323 [2 per cell]
Rh1 0.247 0.000 0.785 [2 per cell]

---

Computed, not measured: an optimized crystal structure of SrAlB3 at the PBEsol level of DFT.

- Magnetic moment: 0.000 μB per cell
- Calculated formation energy: 2.86 eV/atom

a b c (Å): 4.681 4.681 4.681
angles (deg): 90.00 90.00 90.00
Space group Pm-3m (No. 221)
One atom of each set of equivalent atoms:
Sr1 0.000 0.000 0.000 [1 per cell]
Al1 0.500 0.500 0.500 [1 per cell]
B1 0.000 0.000 0.500 [3 per cell]

---

Computed, not measured: an optimized crystal structure of Ce2Al3Ge4 at the PBEsol level of DFT.

- Magnetic moment: 5.998 μB per cell
- Calculated formation energy: -0.48 eV/atom

a b c (Å): 5.874 14.870 7.870
angles (deg): 90.00 90.00 90.00
Space group Cmce (No. 64)
One atom of each set of equivalent atoms:
Ce1 0.000 0.114 0.080 [8 per cell]
Al1 0.000 0.000 0.500 [4 per cell]
Al2 0.250 0.215 0.750 [8 per cell]
Ge1 0.000 0.183 0.449 [8 per cell]
Ge2 0.250 0.046 0.750 [8 per cell]

---

Q: Number 2 is which compound?
A: SrAlB3

---

Q: Which of these has the highest calculated formation energy?
A: SrAlB3

---

Q: Which value of magnetic moment does entry 2 give?
A: 0.000 μB per cell

---

Q: Number 2 is which compound?
A: SrAlB3